TaIr2I | PBE | optimized geometry

Results
formation energy (no corrections): 2.627 eV/f.u.
symmetry: I-42d, No. 122
V: 25.39 Å³/atom
M_tot: 0.000 μB per cell
energy: -28.5 eV/f.u.
excess energy over the best structure of this formula in the dataset: 0.000 eV/atom

Cell lengths 6.202, 6.202, 10.561 Å; angles 90.00, 90.00, 90.00 degrees
Fractional positions:
Ta 0.000 0.000 0.000
Ta 0.000 0.500 0.250
Ta 0.500 0.000 0.750
Ta 0.500 0.500 0.500
Ir 0.232 0.250 0.125
Ir 0.250 0.732 0.375
Ir 0.250 0.768 0.875
Ir 0.268 0.250 0.625
Ir 0.732 0.750 0.625
Ir 0.750 0.232 0.875
Ir 0.750 0.268 0.375
Ir 0.768 0.750 0.125
I 0.000 0.000 0.500
I 0.000 0.500 0.750
I 0.500 0.000 0.250
I 0.500 0.500 0.000



LiTaBe2 | PBE | optimized geometry

Results
symmetry: R-3m, No. 166
V: 13.91 Å³/atom
M_tot: 0.003 μB per cell
energy: -19.6 eV/f.u.
excess energy over the best structure of this formula in the dataset: 0.282 eV/atom

Cell lengths 2.689, 2.689, 26.656 Å; angles 90.00, 90.00, 120.00 degrees
Fractional positions:
Li 0.000 0.000 0.000
Li 0.333 0.667 0.667
Li 0.667 0.333 0.333
Ta 0.000 0.000 0.500
Ta 0.333 0.667 0.167
Ta 0.667 0.333 0.833
Be 0.000 0.000 0.251
Be 0.000 0.000 0.749
Be 0.333 0.667 0.415
Be 0.333 0.667 0.918
Be 0.667 0.333 0.082
Be 0.667 0.333 0.585



BeZnTeI2 | PBE | optimized geometry

Results
formation energy (no corrections): 1.590 eV/f.u.
symmetry: P4/mmm, No. 123
V: 28.50 Å³/atom
M_tot: 0.000 μB per cell
energy: -9.7 eV/f.u.
excess energy over the best structure of this formula in the dataset: 0.000 eV/atom

Cell lengths 5.227, 5.227, 5.214 Å; angles 90.00, 90.00, 90.00 degrees
Fractional positions:
Be 0.000 0.000 0.000
Zn 0.500 0.500 0.500
Te 0.000 0.000 0.500
I 0.000 0.500 0.000
I 0.500 0.000 0.000



Zr4ReAg | PBE | optimized geometry

Results
symmetry: F-43m, No. 216
V: 20.61 Å³/atom
M_tot: 0.000 μB per cell
energy: -45.7 eV/f.u.

Cell lengths 5.593, 5.593, 5.593 Å; angles 60.00, 60.00, 60.00 degrees
Fractional positions:
Zr 0.377 0.377 0.377
Zr 0.377 0.377 0.870
Zr 0.377 0.870 0.377
Zr 0.870 0.377 0.377
Re 0.750 0.750 0.750
Ag 0.000 0.000 0.000



Li2CaHg2Pb2 | PBE | optimized geometry

Results
symmetry: R-3m, No. 166
V: 24.85 Å³/atom
M_tot: 0.000 μB per cell
energy: -16.0 eV/f.u.

Cell lengths 8.959, 8.959, 8.959 Å; angles 31.47, 31.47, 31.47 degrees
Fractional positions:
Li 0.141 0.141 0.141
Li 0.859 0.859 0.859
Ca 0.000 0.000 0.000
Hg 0.442 0.442 0.442
Hg 0.558 0.558 0.558
Pb 0.265 0.265 0.265
Pb 0.735 0.735 0.735



RbSbTe4Pb2 | PBE | optimized geometry

Results
formation energy (no corrections): -3.405 eV/f.u.
symmetry: Cm, No. 8
V: 40.14 Å³/atom
M_tot: 0.000 μB per cell
energy: -28.5 eV/f.u.

Cell lengths 9.376, 9.376, 10.121 Å; angles 117.63, 117.63, 58.43 degrees
Fractional positions:
Rb 0.247 0.753 0.000
Rb 0.753 0.247 0.000
Sb 0.706 0.706 0.884
Sb 0.733 0.733 0.436
Te 0.003 0.520 0.274
Te 0.018 0.018 0.287
Te 0.494 0.980 0.729
Te 0.505 0.505 0.728
Te 0.520 0.003 0.274
Te 0.530 0.530 0.293
Te 0.980 0.494 0.729
Te 0.996 0.996 0.718
Pb 0.211 0.211 0.911
Pb 0.235 0.235 0.457
Pb 0.241 0.756 0.490
Pb 0.756 0.241 0.490



RbNaCd | PBE | optimized geometry

Results
symmetry: Cc, No. 9
V: 42.10 Å³/atom
M_tot: 0.000 μB per cell
energy: -3.2 eV/f.u.
excess energy over the best structure of this formula in the dataset: 0.014 eV/atom

Cell lengths 10.844, 9.614, 5.609 Å; angles 90.00, 120.24, 90.00 degrees
Fractional positions:
Rb 0.000 0.187 0.000
Rb 0.000 0.813 0.500
Rb 0.500 0.313 0.500
Rb 0.500 0.687 0.000
Na 0.322 0.115 0.822
Na 0.322 0.885 0.322
Na 0.822 0.385 0.322
Na 0.822 0.615 0.822
Cd 0.172 0.440 0.672
Cd 0.172 0.560 0.172
Cd 0.672 0.060 0.172
Cd 0.672 0.940 0.672



TaZn2Rh | PBE | optimized geometry

Results
symmetry: Cm, No. 8
V: 15.28 Å³/atom
M_tot: 0.000 μB per cell
energy: -22.4 eV/f.u.

Cell lengths 9.028, 2.796, 4.898 Å; angles 90.00, 98.78, 90.00 degrees
Fractional positions:
Ta 0.000 0.000 0.000
Ta 0.500 0.500 0.000
Zn 0.245 0.000 0.703
Zn 0.493 0.000 0.496
Zn 0.745 0.500 0.703
Zn 0.993 0.500 0.496
Rh 0.252 0.500 0.210
Rh 0.752 0.000 0.210



Y2TmIr2 | PBE | optimized geometry

Results
symmetry: Cmcm, No. 63
V: 23.72 Å³/atom
M_tot: 0.000 μB per cell
energy: -37.4 eV/f.u.

Cell lengths 7.802, 7.802, 5.501 Å; angles 90.00, 90.00, 134.89 degrees
Fractional positions:
Y 0.080 0.920 0.750
Y 0.282 0.718 0.250
Y 0.718 0.282 0.750
Y 0.920 0.080 0.250
Tm 0.500 0.500 0.000
Tm 0.500 0.500 0.500
Ir 0.119 0.364 0.750
Ir 0.364 0.119 0.250
Ir 0.636 0.881 0.750
Ir 0.881 0.636 0.250



Na3UCu2O6 | PBE | optimized geometry

Results
formation energy (no corrections): -21.595 eV/f.u.
symmetry: C2/m, No. 12
V: 12.50 Å³/atom
M_tot: 1.019 μB per cell
energy: -74.8 eV/f.u.

Cell lengths 5.729, 5.729, 5.662 Å; angles 95.71, 95.71, 124.27 degrees
Fractional positions:
Na 0.000 0.000 0.000
Na 0.315 0.685 0.000
Na 0.685 0.315 0.000
U 0.500 0.500 0.500
Cu 0.179 0.821 0.500
Cu 0.821 0.179 0.500
O 0.091 0.398 0.295
O 0.310 0.310 0.761
O 0.398 0.091 0.295
O 0.602 0.909 0.705
O 0.690 0.690 0.239
O 0.909 0.602 0.705



K2Bi2Ru | PBE | optimized geometry

Results
symmetry: P4/mbm, No. 127
V: 31.18 Å³/atom
M_tot: 0.000 μB per cell
energy: -19.1 eV/f.u.

Cell lengths 7.215, 7.215, 5.989 Å; angles 90.00, 90.00, 90.00 degrees
Fractional positions:
K 0.174 0.326 0.000
K 0.326 0.826 0.000
K 0.674 0.174 0.000
K 0.826 0.674 0.000
Bi 0.154 0.654 0.500
Bi 0.346 0.154 0.500
Bi 0.654 0.846 0.500
Bi 0.846 0.346 0.500
Ru 0.000 0.000 0.500
Ru 0.500 0.500 0.500



LaAsSe2S | PBE | optimized geometry

Results
formation energy (no corrections): 2.388 eV/f.u.
symmetry: P4/mmm, No. 123
V: 39.92 Å³/atom
M_tot: 4.423 μB per cell
energy: -18.3 eV/f.u.
excess energy over the best structure of this formula in the dataset: 0.973 eV/atom

Cell lengths 5.781, 5.781, 5.973 Å; angles 90.00, 90.00, 90.00 degrees
Fractional positions:
La 0.000 0.000 0.000
As 0.000 0.000 0.500
Se 0.000 0.500 0.000
Se 0.500 0.000 0.000
S 0.500 0.500 0.500



Sr2Mg5Pt3 | PBE | optimized geometry

Results
symmetry: Cmc2_1, No. 36
V: 22.77 Å³/atom
M_tot: 0.000 μB per cell
energy: -36.0 eV/f.u.

Cell lengths 13.805, 13.805, 7.487 Å; angles 90.00, 90.00, 161.38 degrees
Fractional positions:
Sr 0.026 0.974 0.500
Sr 0.325 0.675 0.561
Sr 0.675 0.325 0.061
Sr 0.974 0.026 0.000
Mg 0.095 0.905 0.884
Mg 0.208 0.792 0.365
Mg 0.213 0.787 0.756
Mg 0.369 0.631 0.037
Mg 0.444 0.556 0.666
Mg 0.556 0.444 0.166
Mg 0.631 0.369 0.537
Mg 0.787 0.213 0.256
Mg 0.792 0.208 0.865
Mg 0.905 0.095 0.384
Pt 0.112 0.888 0.249
Pt 0.268 0.732 0.061
Pt 0.453 0.547 0.292
Pt 0.547 0.453 0.792
Pt 0.732 0.268 0.561
Pt 0.888 0.112 0.749



CdBTeAs2 | PBE | optimized geometry

Results
formation energy (no corrections): 3.547 eV/f.u.
symmetry: P4/mmm, No. 123
V: 20.66 Å³/atom
M_tot: 0.000 μB per cell
energy: -16.5 eV/f.u.

Cell lengths 4.370, 4.370, 5.408 Å; angles 90.00, 90.00, 90.00 degrees
Fractional positions:
Cd 0.000 0.000 0.000
B 0.500 0.500 0.500
Te 0.500 0.500 0.000
As 0.000 0.500 0.500
As 0.500 0.000 0.500



ZnFePb | PBE | optimized geometry

Results
symmetry: F-43m, No. 216
V: 20.25 Å³/atom
M_tot: 9.697 μB per cell
energy: -12.1 eV/f.u.
excess energy over the best structure of this formula in the dataset: 0.035 eV/atom

Cell lengths 6.240, 6.240, 6.240 Å; angles 90.00, 90.00, 90.00 degrees
Fractional positions:
Zn 0.000 0.000 0.000
Zn 0.000 0.500 0.500
Zn 0.500 0.000 0.500
Zn 0.500 0.500 0.000
Fe 0.250 0.250 0.750
Fe 0.250 0.750 0.250
Fe 0.750 0.250 0.250
Fe 0.750 0.750 0.750
Pb 0.000 0.000 0.500
Pb 0.000 0.500 0.000
Pb 0.500 0.000 0.000
Pb 0.500 0.500 0.500



Ce2PmAs | PBE | optimized geometry

Results
symmetry: P4/mmm, No. 123
V: 24.62 Å³/atom
M_tot: 0.324 μB per cell
energy: -23.4 eV/f.u.
excess energy over the best structure of this formula in the dataset: 0.000 eV/atom

Cell lengths 4.447, 4.447, 4.981 Å; angles 90.00, 90.00, 90.00 degrees
Fractional positions:
Ce 0.000 0.500 0.000
Ce 0.500 0.000 0.000
Pm 0.000 0.000 0.500
As 0.500 0.500 0.500



Cu4Hg | PBE | optimized geometry

Results
symmetry: C2/m, No. 12
V: 14.09 Å³/atom
M_tot: 0.000 μB per cell
energy: -16.0 eV/f.u.
excess energy over the best structure of this formula in the dataset: 0.000 eV/atom

Cell lengths 12.437, 4.199, 2.764 Å; angles 90.00, 102.42, 90.00 degrees
Fractional positions:
Cu 0.105 0.000 0.102
Cu 0.221 0.500 0.224
Cu 0.279 0.000 0.776
Cu 0.395 0.500 0.898
Cu 0.605 0.500 0.102
Cu 0.721 0.000 0.224
Cu 0.779 0.500 0.776
Cu 0.895 0.000 0.898
Hg 0.000 0.500 0.500
Hg 0.500 0.000 0.500



AlIn2Fe | PBE | optimized geometry

Results
symmetry: I4/mmm, No. 139
V: 18.80 Å³/atom
M_tot: 5.222 μB per cell
energy: -16.5 eV/f.u.

Cell lengths 4.185, 4.185, 8.585 Å; angles 90.00, 90.00, 90.00 degrees
Fractional positions:
Al 0.000 0.000 0.000
Al 0.500 0.500 0.500
In 0.000 0.500 0.250
In 0.000 0.500 0.750
In 0.500 0.000 0.250
In 0.500 0.000 0.750
Fe 0.000 0.000 0.500
Fe 0.500 0.500 0.000



KZnSe2 | PBE | optimized geometry

Results
formation energy (no corrections): -1.897 eV/f.u.
symmetry: P4mm, No. 99
V: 27.39 Å³/atom
M_tot: 0.229 μB per cell
energy: -11.2 eV/f.u.

Cell lengths 3.605, 3.605, 8.431 Å; angles 90.00, 90.00, 90.00 degrees
Fractional positions:
K 0.000 0.000 0.000
Zn 0.500 0.500 0.520
Se 0.000 0.000 0.619
Se 0.500 0.500 0.231



LiTmAg6 | PBE | optimized geometry

Results
symmetry: C2/m, No. 12
V: 18.59 Å³/atom
M_tot: 0.000 μB per cell
energy: -24.9 eV/f.u.
excess energy over the best structure of this formula in the dataset: 0.000 eV/atom

Cell lengths 9.529, 4.138, 8.373 Å; angles 90.00, 115.71, 90.00 degrees
Fractional positions:
Li 0.000 0.000 0.000
Li 0.500 0.500 0.000
Tm 0.000 0.000 0.500
Tm 0.500 0.500 0.500
Ag 0.001 0.500 0.237
Ag 0.246 0.000 0.364
Ag 0.249 0.000 0.881
Ag 0.251 0.500 0.119
Ag 0.254 0.500 0.636
Ag 0.499 0.000 0.763
Ag 0.501 0.000 0.237
Ag 0.746 0.500 0.364
Ag 0.749 0.500 0.881
Ag 0.751 0.000 0.119
Ag 0.754 0.000 0.636
Ag 0.999 0.500 0.763



Li2AlTc | PBE | optimized geometry

Results
symmetry: Cmmm, No. 65
V: 14.77 Å³/atom
M_tot: 0.000 μB per cell
energy: -17.5 eV/f.u.

Cell lengths 3.281, 3.986, 9.037 Å; angles 90.00, 90.00, 90.00 degrees
Fractional positions:
Li 0.000 0.000 0.246
Li 0.000 0.000 0.754
Li 0.500 0.500 0.246
Li 0.500 0.500 0.754
Al 0.000 0.500 0.500
Al 0.500 0.000 0.500
Tc 0.000 0.500 0.000
Tc 0.500 0.000 0.000



LaZrZn | PBE | optimized geometry

Results
symmetry: F-43m, No. 216
V: 27.48 Å³/atom
M_tot: 0.939 μB per cell
energy: -14.0 eV/f.u.
excess energy over the best structure of this formula in the dataset: 0.339 eV/atom

Cell lengths 6.909, 6.909, 6.909 Å; angles 90.00, 90.00, 90.00 degrees
Fractional positions:
La 0.000 0.000 0.000
La 0.000 0.500 0.500
La 0.500 0.000 0.500
La 0.500 0.500 0.000
Zr 0.000 0.000 0.500
Zr 0.000 0.500 0.000
Zr 0.500 0.000 0.000
Zr 0.500 0.500 0.500
Zn 0.250 0.250 0.750
Zn 0.250 0.750 0.250
Zn 0.750 0.250 0.250
Zn 0.750 0.750 0.750



ScNi2AgW | PBE | optimized geometry

Results
symmetry: P4/mmm, No. 123
V: 20.31 Å³/atom
M_tot: 1.542 μB per cell
energy: -26.2 eV/f.u.

Cell lengths 4.584, 4.584, 4.831 Å; angles 90.00, 90.00, 90.00 degrees
Fractional positions:
Sc 0.000 0.000 0.000
Ni 0.000 0.500 0.500
Ni 0.500 0.000 0.500
Ag 0.500 0.500 0.500
W 0.500 0.500 0.000



BaSrSiO4 | PBE | optimized geometry

Results
formation energy (no corrections): -20.703 eV/f.u.
symmetry: P2_1/m, No. 11
V: 16.64 Å³/atom
M_tot: 0.000 μB per cell
energy: -49.6 eV/f.u.

Cell lengths 5.716, 5.894, 7.312 Å; angles 90.00, 109.02, 90.00 degrees
Fractional positions:
Ba 0.196 0.250 0.424
Ba 0.804 0.750 0.576
Sr 0.303 0.250 0.970
Sr 0.697 0.750 0.030
Si 0.265 0.750 0.195
Si 0.735 0.250 0.805
O 0.076 0.750 0.326
O 0.109 0.750 0.961
O 0.452 0.527 0.245
O 0.452 0.973 0.245
O 0.548 0.027 0.755
O 0.548 0.473 0.755
O 0.891 0.250 0.039
O 0.924 0.250 0.674



MgTiCdHg | PBE | optimized geometry

Results
symmetry: F-43m, No. 216
V: 19.70 Å³/atom
M_tot: 0.110 μB per cell
energy: -10.7 eV/f.u.

Cell lengths 6.806, 6.806, 6.806 Å; angles 90.00, 90.00, 90.00 degrees
Fractional positions:
Mg 0.000 0.000 0.000
Mg 0.000 0.500 0.500
Mg 0.500 0.000 0.500
Mg 0.500 0.500 0.000
Ti 0.000 0.000 0.500
Ti 0.000 0.500 0.000
Ti 0.500 0.000 0.000
Ti 0.500 0.500 0.500
Cd 0.250 0.250 0.250
Cd 0.250 0.750 0.750
Cd 0.750 0.250 0.750
Cd 0.750 0.750 0.250
Hg 0.250 0.250 0.750
Hg 0.250 0.750 0.250
Hg 0.750 0.250 0.250
Hg 0.750 0.750 0.750



Cs2Tl2PdCl4 | PBE | optimized geometry

Results
formation energy (no corrections): -10.050 eV/f.u.
symmetry: I4/mmm, No. 139
V: 31.14 Å³/atom
M_tot: 0.000 μB per cell
energy: -29.1 eV/f.u.

Cell lengths 7.151, 7.151, 7.151 Å; angles 111.71, 111.71, 105.09 degrees
Fractional positions:
Cs 0.250 0.750 0.500
Cs 0.750 0.250 0.500
Tl 0.184 0.184 0.000
Tl 0.816 0.816 0.000
Pd 0.500 0.500 0.000
Cl 0.255 0.255 0.511
Cl 0.255 0.745 0.000
Cl 0.745 0.255 0.000
Cl 0.745 0.745 0.489